# 1
Density functional theory data (PBE) for a relaxed structure of Ta2TiCuSe.

The structure in POSCAR format:
```
Ta2TiCuSe
1.0
4.736 0.000 0.000
0.000 4.736 0.000
0.000 0.000 4.642
Ta Ti Cu Se
2 1 1 1
Cartesian
0.000 2.368 0.000
2.368 0.000 0.000
0.000 0.000 0.000
0.000 0.000 2.321
2.368 2.368 2.321
```



# 2
Density functional theory data (PBE) for a relaxed structure of PaSiB.

Summary:
Its energy relative to the lowest polymorph listed for this composition is 0.00 eV/f.u.

The structure in POSCAR format:
```
PaSiB
1.0
3.533 0.000 0.000
-1.767 3.060 0.000
0.000 0.000 4.219
Pa Si B
1 1 1
Cartesian
0.000 0.000 0.000
0.000 2.040 2.109
1.767 1.020 2.109
```



# 3
Density functional theory data (PBE) for a relaxed structure of NdSmO.

Summary:
Its energy relative to the lowest polymorph listed for this composition is 0.10 eV/f.u.

The structure in POSCAR format:
```
NdSmO
1.0
3.663 0.000 0.000
-1.831 3.172 0.000
0.000 0.000 6.026
Nd Sm O
1 1 1
Cartesian
0.000 0.000 0.000
0.000 2.115 2.756
1.831 1.057 1.449
```



Listing volume for the structures above in their given order: 20.8, 15.2, 23.3 Å³/atom.
Listing uncorrected formation energy for the structures above in their given order: 1.3936, -0.5816, -1.7030 eV per atom.